Density functional theory data (GGA-PBE) for a geometry-optimized Ca2TePd structure.

total magnetic moment: 0.000 μB/atom
crystal system: tetragonal

Unit cell a=7.782 b=7.782 c=6.910 alpha=55.73 beta=55.73 gamma=90.00
Atoms (fractional coordinates):
Ca1 0.151 0.625 0.250
Pd1 0.500 0.500 0.000
Ca2 0.375 0.401 0.750
Te1 0.000 0.000 0.000
Ca3 0.875 0.849 0.750
Pd2 0.250 0.750 0.500
Ca4 0.599 0.125 0.250
Te2 0.750 0.250 0.500

Density functional theory data (GGA-PBE) for a geometry-optimized CaTePd3 structure.

total magnetic moment: 0.000 μB/atom
crystal system: monoclinic

Unit cell a=5.222 b=6.608 c=5.872 alpha=90.00 beta=90.00 gamma=96.83
Atoms (fractional coordinates):
Pd1 0.668 0.834 0.005
Ca1 0.159 0.672 0.750
Ca2 0.841 0.328 0.250
Pd2 0.376 0.525 0.250
Pd3 0.332 0.166 0.995
Te1 0.137 0.853 0.250
Te2 0.863 0.147 0.750
Pd4 0.668 0.834 0.495
Pd5 0.624 0.475 0.750
Pd6 0.332 0.166 0.505

Density functional theory data (GGA-PBE) for a geometry-optimized CaTePd3 structure.

total magnetic moment: 0.000 μB/atom
crystal system: cubic

Unit cell a=4.996 b=4.996 c=4.996 alpha=90.00 beta=90.00 gamma=90.00
Atoms (fractional coordinates):
Pd1 0.500 0.000 0.000
Ca1 0.500 0.500 0.500
Te1 0.000 0.000 0.000
Pd2 0.000 0.000 0.500
Pd3 0.000 0.500 0.000

Density functional theory data (GGA-PBE) for a geometry-optimized CaUTe3Pd structure.

total magnetic moment: 0.356 μB/atom
crystal system: monoclinic

Unit cell a=4.243 b=8.327 c=10.242 alpha=104.72 beta=90.00 gamma=90.00
Atoms (fractional coordinates):
Te1 0.750 0.267 0.532
U1 0.250 0.678 0.170
Te2 0.250 0.733 0.468
Pd1 0.250 0.089 0.597
Ca1 0.250 0.196 0.295
U2 0.750 0.322 0.830
Te3 0.750 0.928 0.141
Pd2 0.750 0.911 0.403
Te4 0.750 0.402 0.148
Te5 0.250 0.072 0.859
Ca2 0.750 0.804 0.705
Te6 0.250 0.598 0.852

Density functional theory data (GGA-PBE) for a geometry-optimized CaY2TePd structure.

total magnetic moment: 0.000 μB/atom
crystal system: tetragonal

Unit cell a=5.349 b=5.683 c=5.349 alpha=90.00 beta=90.00 gamma=90.00
Atoms (fractional coordinates):
Y1 0.000 0.000 0.500
Y2 0.500 0.000 0.000
Te1 0.500 0.500 0.500
Pd1 0.000 0.000 0.000
Ca1 0.000 0.500 0.000

Density functional theory data (GGA-PBE) for a geometry-optimized Ca2ThPd4 structure.

total magnetic moment: 0.000 μB/atom
energy of formation: -0.583 eV per atom
crystal system: tetragonal

Unit cell a=5.404 b=5.404 c=6.726 alpha=113.68 beta=113.68 gamma=90.01
Atoms (fractional coordinates):
Pd1 0.375 0.875 0.750
Th1 0.000 0.000 0.000
Pd2 0.875 0.375 0.750
Ca1 0.325 0.325 0.649
Pd3 0.125 0.625 0.250
Ca2 0.675 0.675 0.351
Pd4 0.625 0.125 0.250

Density functional theory data (GGA-PBE) for a geometry-optimized CaTh2Pd7 structure.

total magnetic moment: 0.000 μB/atom
energy of formation: -0.623 eV per atom
crystal system: orthorhombic

Unit cell a=5.167 b=5.167 c=9.059 alpha=100.25 beta=100.25 gamma=112.10
Atoms (fractional coordinates):
Pd1 0.416 0.916 0.832
Pd2 0.250 0.750 0.500
Pd3 0.750 0.250 0.500
Th1 0.667 0.667 0.333
Ca1 0.000 0.000 0.000
Pd4 0.084 0.584 0.168
Pd5 0.584 0.084 0.168
Pd6 0.916 0.416 0.832
Th2 0.333 0.333 0.667
Pd7 0.500 0.500 0.000

Density functional theory data (GGA-PBE) for a geometry-optimized Ca2ThPd9 structure.

total magnetic moment: 0.000 μB/atom
energy of formation: -0.679 eV per atom
crystal system: tetragonal

Unit cell a=4.186 b=4.186 c=12.328 alpha=90.00 beta=90.00 gamma=90.00
Atoms (fractional coordinates):
Pd1 0.500 0.000 0.166
Pd2 0.500 0.000 0.834
Ca1 0.000 0.000 0.663
Pd3 0.500 0.000 0.500
Pd4 0.000 0.500 0.166
Pd5 0.500 0.500 0.000
Th1 0.000 0.000 0.000
Pd6 0.500 0.500 0.666
Pd7 0.000 0.500 0.500
Ca2 0.000 0.000 0.337
Pd8 0.500 0.500 0.334
Pd9 0.000 0.500 0.834

Number 1: E -3.85 eV per atom, N(E_F) 0.00 states/eV per cell. Number 2: E -4.72 eV per atom, N(E_F) 5.46 states/eV per cell. Number 3: E -4.48 eV per atom, N(E_F) 1.40 states/eV per cell. Number 4: E -5.54 eV per atom, N(E_F) 13.85 states/eV per cell. Number 5: E -5.17 eV per atom, N(E_F) 4.02 states/eV per cell. Number 6: E -5.18 eV per atom, N(E_F) 4.72 states/eV per cell. Number 7: E -5.94 eV per atom, N(E_F) 6.52 states/eV per cell. Number 8: E -5.53 eV per atom, N(E_F) 7.45 states/eV per cell.